1.
Sc5MnCu4: relaxed, PBE.

abc: 3.238 3.238 16.567
angles: 90.00 90.00 90.00
Site moments in Bohr magnetons follow the coordinates.
Positions (direct):
Sc  0.500  0.500  0.899  -0.20
Sc  0.500  0.500  0.101  -0.20
Sc  0.500  0.500  0.500  0.01
Sc  0.500  0.500  0.301  0.02
Sc  0.500  0.500  0.699  0.02
Cu  0.000  0.000  0.401  0.00
Cu  0.000  0.000  0.599  0.00
Cu  0.000  0.000  0.798  0.01
Cu  0.000  0.000  0.202  0.01
Mn  0.000  0.000  0.000  2.85

2.
URe2Tc: relaxed, PBE.

abc: 2.986 2.986 7.526
angles: 90.00 90.00 90.00
Positions (direct):
Re  0.000  0.000  0.216
Re  0.000  0.000  0.784
U  0.500  0.500  0.500
Tc  0.500  0.500  0.000

3.
SrNiRh2: relaxed, PBE.

abc: 4.884 4.884 4.884
angles: 128.22 128.22 76.26
Site moments in Bohr magnetons follow the coordinates.
Positions (direct):
Sr  0.500  0.500  0.000  -0.02
Rh  0.250  0.750  0.500  0.60
Rh  0.000  0.000  0.000  0.63
Ni  0.750  0.250  0.500  0.57

The records above give, respectively, calculated formation energy values of -2.05 0.54 1.31 eV per formula unit.
The records above give, respectively, V values of 17.37 16.77 17.47 Å³/atom.